Entry 1:
Below is a geometry-optimized BeGeIO2 structure, with properties calculated at the PBE-GGA level.

Summary:
The value obtained for the energy relative to the elements, uncorrected is -215 meV/atom. The distance to the lowest polymorph of the same formula comes out at 0.0 meV/atom.

```
data_BeGeIO2
_cell_length_a 3.6868
_cell_length_b 3.6868
_cell_length_c 6.7266
_cell_angle_alpha 90.00
_cell_angle_beta 90.00
_cell_angle_gamma 90.00
_symmetry_space_group_name_H-M 'P 4/m m m'
_symmetry_Int_Tables_number 123
_symmetry_space_group_name_Hall '-P 4 2'
loop_
_atom_site_label
_atom_site_type_symbol
_atom_site_fract_x
_atom_site_fract_y
_atom_site_fract_z
Be1 Be 0.0000 0.0000 0.0000
Ge1 Ge 0.5000 0.5000 0.5000
I1 I 0.5000 0.5000 0.0000
O1 O 0.0000 0.5000 0.5000
```



Entry 2:
Below is a geometry-optimized ErAgRh structure, with properties calculated at the PBE-GGA level.

Summary:
The distance to the lowest polymorph of the same formula comes out at 0.0 meV/atom. For the formation energy, the calculation gives -1.66 eV/f.u.

```
data_ErAgRh
_cell_length_a 4.4946
_cell_length_b 9.3895
_cell_length_c 5.5452
_cell_angle_alpha 90.00
_cell_angle_beta 90.00
_cell_angle_gamma 90.00
_symmetry_space_group_name_H-M 'C m c m'
_symmetry_Int_Tables_number 63
_symmetry_space_group_name_Hall '-C 2c 2'
loop_
_atom_site_label
_atom_site_type_symbol
_atom_site_fract_x
_atom_site_fract_y
_atom_site_fract_z
Er1 Er 0.0000 0.1933 0.2500
Ag1 Ag 0.0000 0.5000 0.0000
Rh1 Rh 0.0000 0.1115 0.7500
```



Entry 3:
Below is a geometry-optimized B2C structure, with properties calculated at the PBE-GGA level.

Summary:
The distance to the lowest polymorph of the same formula comes out at 316.1 meV/atom. For the formation energy, the calculation gives 1.50 eV/f.u.

```
data_B2C
_cell_length_a 12.2743
_cell_length_b 2.5689
_cell_length_c 5.5701
_cell_angle_alpha 90.00
_cell_angle_beta 108.13
_cell_angle_gamma 90.00
_symmetry_space_group_name_H-M 'C 1 m 1'
_symmetry_Int_Tables_number 8
loop_
_symmetry_equiv_pos_as_xyz
'x,y,z'
'x,-y,z'
'x+1/2,y+1/2,z'
'x+1/2,-y+1/2,z'
loop_
_atom_site_label
_atom_site_type_symbol
_atom_site_fract_x
_atom_site_fract_y
_atom_site_fract_z
B1 B 0.0000 0.0000 0.0000
B2 B 0.0118 0.0000 0.4339
B3 B 0.1027 0.0000 0.7424
B4 B 0.2103 0.5000 0.8392
B5 B 0.2797 0.5000 0.1888
B6 B 0.3287 0.0000 0.0295
B7 B 0.3403 0.0000 0.6294
B8 B 0.3934 0.0000 0.3651
C1 C 0.1023 0.0000 0.2521
C2 C 0.1760 0.5000 0.3178
C3 C 0.2520 0.5000 0.5908
C4 C 0.4276 0.0000 0.9053
```



Entry 4:
Below is a geometry-optimized CaZr2IrI structure, with properties calculated at the PBE-GGA level.

Summary:
The value obtained for the energy relative to the elements, uncorrected is 1556 meV/atom.

```
data_CaZr2IrI
_cell_length_a 5.3500
_cell_length_b 5.3500
_cell_length_c 4.7536
_cell_angle_alpha 90.00
_cell_angle_beta 90.00
_cell_angle_gamma 90.00
_symmetry_space_group_name_H-M 'P 4/m m m'
_symmetry_Int_Tables_number 123
_symmetry_space_group_name_Hall '-P 4 2'
loop_
_atom_site_label
_atom_site_type_symbol
_atom_site_fract_x
_atom_site_fract_y
_atom_site_fract_z
Ca1 Ca 0.0000 0.0000 0.0000
Zr1 Zr 0.0000 0.5000 0.0000
Ir1 Ir 0.0000 0.0000 0.5000
I1 I 0.5000 0.5000 0.5000
```



Entry 5:
Below is a geometry-optimized LaTi2Cd2 structure, with properties calculated at the PBE-GGA level.

Summary:
The distance to the lowest polymorph of the same formula comes out at 0.0 meV/atom. For the formation energy, the calculation gives 0.34 eV/f.u.

```
data_LaTi2Cd2
_cell_length_a 8.5412
_cell_length_b 8.5412
_cell_length_c 3.0233
_cell_angle_alpha 90.00
_cell_angle_beta 90.00
_cell_angle_gamma 90.00
_symmetry_space_group_name_H-M 'P 4/m b m'
_symmetry_Int_Tables_number 127
_symmetry_space_group_name_Hall '-P 4 2ab'
loop_
_atom_site_label
_atom_site_type_symbol
_atom_site_fract_x
_atom_site_fract_y
_atom_site_fract_z
La1 La 0.0000 0.0000 0.0000
Ti1 Ti 0.1128 0.3872 0.0000
Cd1 Cd 0.1791 0.6791 0.5000
```



Entry 6:
Below is a geometry-optimized Ac2NiSb3Rh4 structure, with properties calculated at the PBE-GGA level.

Summary:
The value obtained for the energy relative to the elements, uncorrected is -713 meV/atom.

```
data_Ac2NiSb3Rh4
_cell_length_a 4.5041
_cell_length_b 4.5041
_cell_length_c 10.7474
_cell_angle_alpha 90.00
_cell_angle_beta 90.00
_cell_angle_gamma 90.00
_symmetry_space_group_name_H-M 'P -4 m 2'
_symmetry_Int_Tables_number 115
loop_
_symmetry_equiv_pos_as_xyz
'x,y,z'
'y,-x,-z'
'-x,-y,z'
'-y,x,-z'
'-x,y,z'
'-y,-x,-z'
'x,-y,z'
'y,x,-z'
loop_
_atom_site_label
_atom_site_type_symbol
_atom_site_fract_x
_atom_site_fract_y
_atom_site_fract_z
Ac1 Ac 0.0000 0.5000 0.2376
Ni1 Ni 0.5000 0.5000 0.0000
Sb1 Sb 0.0000 0.0000 0.0000
Sb2 Sb 0.0000 0.5000 0.6328
Rh1 Rh 0.0000 0.0000 0.5000
Rh2 Rh 0.0000 0.5000 0.8767
Rh3 Rh 0.5000 0.5000 0.5000
```



Entry 7:
Below is a geometry-optimized ZrTe2Ir structure, with properties calculated at the PBE-GGA level.

Summary:
The value obtained for the energy relative to the elements, uncorrected is -281 meV/atom. The distance to the lowest polymorph of the same formula comes out at 352.4 meV/atom.

```
data_ZrTe2Ir
_cell_length_a 3.2509
_cell_length_b 3.2509
_cell_length_c 9.6025
_cell_angle_alpha 90.00
_cell_angle_beta 90.00
_cell_angle_gamma 90.00
_symmetry_space_group_name_H-M 'P 4 m m'
_symmetry_Int_Tables_number 99
loop_
_symmetry_equiv_pos_as_xyz
'x,y,z'
'-y,x,z'
'-x,-y,z'
'y,-x,z'
'-x,y,z'
'y,x,z'
'x,-y,z'
'-y,-x,z'
loop_
_atom_site_label
_atom_site_type_symbol
_atom_site_fract_x
_atom_site_fract_y
_atom_site_fract_z
Zr1 Zr 0.0000 0.0000 0.0000
Te1 Te 0.0000 0.0000 0.3695
Te2 Te 0.5000 0.5000 0.7684
Ir1 Ir 0.5000 0.5000 0.1583
```



Entry 8:
Below is a geometry-optimized La6TbSm2 structure, with properties calculated at the PBE-GGA level.

Summary:
The distance to the lowest polymorph of the same formula comes out at 0.0 meV/atom. For the formation energy, the calculation gives 0.52 eV/f.u.

```
data_La6TbSm2
_cell_length_a 3.6773
_cell_length_b 3.6773
_cell_length_c 27.6777
_cell_angle_alpha 90.00
_cell_angle_beta 90.00
_cell_angle_gamma 120.00
_symmetry_space_group_name_H-M 'P -6 m 2'
_symmetry_Int_Tables_number 187
_symmetry_space_group_name_Hall 'P -6 2'
loop_
_atom_site_label
_atom_site_type_symbol
_atom_site_fract_x
_atom_site_fract_y
_atom_site_fract_z
La1 La 0.0000 0.0000 0.0632
La2 La 0.0000 0.0000 0.2795
La3 La 0.3333 0.6667 0.3938
Tb1 Tb 0.0000 0.0000 0.5000
Sm1 Sm 0.3333 0.6667 0.1696
```



Entry 9:
Below is a geometry-optimized Y2BC2 structure, with properties calculated at the PBE-GGA level.

Summary:
For the formation energy, the calculation gives -1.13 eV/f.u.

```
data_Y2BC2
_cell_length_a 3.1475
_cell_length_b 13.9098
_cell_length_c 6.2198
_cell_angle_alpha 90.00
_cell_angle_beta 90.00
_cell_angle_gamma 90.00
_symmetry_space_group_name_H-M 'C m c 21'
_symmetry_Int_Tables_number 36
loop_
_symmetry_equiv_pos_as_xyz
'x,y,z'
'-x,-y,z+1/2'
'-x,y,z'
'x,-y,z+1/2'
'x+1/2,y+1/2,z'
'-x+1/2,-y+1/2,z+1/2'
'-x+1/2,y+1/2,z'
'x+1/2,-y+1/2,z+1/2'
loop_
_atom_site_label
_atom_site_type_symbol
_atom_site_fract_x
_atom_site_fract_y
_atom_site_fract_z
Y1 Y 0.0000 0.0327 0.0000
Y2 Y 0.0000 0.2245 0.3141
B1 B 0.0000 0.3795 0.0642
C1 C 0.0000 0.1436 0.6772
C2 C 0.0000 0.4166 0.8212
```



Entry 10:
Below is a geometry-optimized CaHoF5 structure, with properties calculated at the PBE-GGA level.

Summary:
The value obtained for the energy relative to the elements, uncorrected is -3964 meV/atom.

```
data_CaHoF5
_cell_length_a 7.2349
_cell_length_b 6.7739
_cell_length_c 7.6157
_cell_angle_alpha 90.00
_cell_angle_beta 92.78
_cell_angle_gamma 90.00
_symmetry_space_group_name_H-M 'C 1 2/c 1'
_symmetry_Int_Tables_number 15
loop_
_symmetry_equiv_pos_as_xyz
'x,y,z'
'-x,-y,-z'
'-x,y,-z+1/2'
'x,-y,z+1/2'
'x+1/2,y+1/2,z'
'-x+1/2,-y+1/2,-z'
'-x+1/2,y+1/2,-z+1/2'
'x+1/2,-y+1/2,z+1/2'
loop_
_atom_site_label
_atom_site_type_symbol
_atom_site_fract_x
_atom_site_fract_y
_atom_site_fract_z
Ca1 Ca 0.0000 0.0000 0.0000
Ho1 Ho 0.0000 0.4855 0.2500
F1 F 0.0000 0.1830 0.7500
F2 F 0.1539 0.2169 0.1782
F3 F 0.1659 0.4324 0.5047
```



Entry 11:
Below is a geometry-optimized Ge2N2O structure, with properties calculated at the PBE-GGA level.

Summary:
The value obtained for the energy relative to the elements, uncorrected is -416 meV/atom.

```
data_Ge2N2O
_cell_length_a 12.3536
_cell_length_b 3.0603
_cell_length_c 5.7910
_cell_angle_alpha 90.00
_cell_angle_beta 103.91
_cell_angle_gamma 90.00
_symmetry_space_group_name_H-M 'C 1 2/m 1'
_symmetry_Int_Tables_number 12
loop_
_symmetry_equiv_pos_as_xyz
'x,y,z'
'-x,-y,-z'
'-x,y,-z'
'x,-y,z'
'x+1/2,y+1/2,z'
'-x+1/2,-y+1/2,-z'
'-x+1/2,y+1/2,-z'
'x+1/2,-y+1/2,z'
loop_
_atom_site_label
_atom_site_type_symbol
_atom_site_fract_x
_atom_site_fract_y
_atom_site_fract_z
Ge1 Ge 0.0844 0.0000 0.2916
Ge2 Ge 0.1566 0.5000 0.8368
N1 N 0.0020 0.5000 0.2510
N2 N 0.1759 0.0000 0.0720
O1 O 0.1640 0.0000 0.6052
```



Entry 12:
Below is a geometry-optimized ZrSiP2Rh structure, with properties calculated at the PBE-GGA level.

Summary:
The value obtained for the energy relative to the elements, uncorrected is 1014 meV/atom.

```
data_ZrSiP2Rh
_cell_length_a 4.9083
_cell_length_b 4.9083
_cell_length_c 5.0245
_cell_angle_alpha 90.00
_cell_angle_beta 90.00
_cell_angle_gamma 90.00
_symmetry_space_group_name_H-M 'P 4/m m m'
_symmetry_Int_Tables_number 123
_symmetry_space_group_name_Hall '-P 4 2'
loop_
_atom_site_label
_atom_site_type_symbol
_atom_site_fract_x
_atom_site_fract_y
_atom_site_fract_z
Zr1 Zr 0.0000 0.0000 0.0000
Si1 Si 0.0000 0.0000 0.5000
P1 P 0.0000 0.5000 0.0000
Rh1 Rh 0.5000 0.5000 0.5000
```



no.,spin magnetization (μB/f.u.)
1,0.00
2,0.00
3,0.00
4,0.00
5,0.00
6,0.65
7,0.00
8,0.00
9,0.00
10,0.00
11,0.00
12,0.85